Record 1
This record from Alexandria describes a geometry-optimized MnBMo3 structure. The functional is PBE-GGA.

a b c (Å): 4.3930 4.3930 4.3930
angles (deg): 90.00 90.00 90.00
Closest atoms and distances in Å follow each position.
Fractional coordinates of all 5 atoms:
Mn: 0.0000 0.0000 0.0000  6 Mo 2.20
B: 0.5000 0.5000 0.5000  12 Mo 3.11
Mo: 0.0000 0.0000 0.5000  2 Mn 2.20
Mo: 0.0000 0.5000 0.0000  2 Mn 2.20
Mo: 0.5000 0.0000 0.0000  2 Mn 2.20

Values from the calculation:
- size of the total moment (μB/f.u.) = 0.0
- DFT total energy (eV per atom) = -7.83
- E_form (eV per atom) = 1.8394
- theoretical density (Mg/m³) = 6.9
- space-group type = Pm-3m

---

Record 2
This record from Alexandria describes a geometry-optimized MnB4Mo structure. The functional is PBE-GGA.

a b c (Å): 5.7645 5.7645 3.0760
angles (deg): 90.00 90.00 103.02
Closest atoms and distances in Å follow each position.
Fractional coordinates of all 12 atoms:
Mn: 0.1802 0.1802 0.0000  10 B 2.12-2.20
Mn: 0.8198 0.8198 0.0000  10 B 2.12-2.20
B: 0.0705 0.3909 0.5000  3 B 1.64-1.81
B: 0.0980 0.9020 0.5000  3 B 1.75-1.77
B: 0.3834 0.3834 0.5000  3 B 1.67-1.81
B: 0.3909 0.0705 0.5000  3 B 1.64-1.81
B: 0.6091 0.9295 0.5000  3 B 1.64-1.81
B: 0.6166 0.6166 0.5000  3 B 1.67-1.81
B: 0.9020 0.0980 0.5000  3 B 1.75-1.77
B: 0.9295 0.6091 0.5000  3 B 1.64-1.81
Mo: 0.3009 0.6991 0.0000  14 B 2.39-2.59
Mo: 0.6991 0.3009 0.0000  14 B 2.39-2.59

Values from the calculation:
- size of the total moment (μB/f.u.) = 1.2
- DFT total energy (eV per atom) = -7.96
- E_form (eV per atom) = -0.1702
- theoretical density (Mg/m³) = 6.5
- space-group type = Cmmm

---

Record 3
This record from Alexandria describes a geometry-optimized MnBMo structure. The functional is PBE-GGA.

a b c (Å): 4.3900 4.3900 5.7260
angles (deg): 103.73 103.73 39.23
Closest atoms and distances in Å follow each position.
Fractional coordinates of all 6 atoms:
Mn: 0.1296 0.1296 0.4469  3 B 2.07-2.17
Mn: 0.8704 0.8704 0.5531  3 B 2.07-2.17
B: 0.3248 0.3248 0.7820  3 Mn 2.07-2.17, 3 Mo 2.22-2.30
B: 0.6752 0.6752 0.2180  3 Mn 2.07-2.17, 3 Mo 2.22-2.30
Mo: 0.3806 0.3806 0.1817  4 B 2.22-2.39
Mo: 0.6194 0.6194 0.8183  4 B 2.22-2.39

Values from the calculation:
- size of the total moment (μB/f.u.) = 0.0
- DFT total energy (eV per atom) = -9.01
- E_form (eV per atom) = -0.1173
- theoretical density (Mg/m³) = 8.0
- space-group type = C2/m

---

Record 4
This record from Alexandria describes a geometry-optimized MnBMo structure. The functional is PBE-GGA.

a b c (Å): 4.7986 4.7986 4.7986
angles (deg): 147.21 147.21 47.05
Closest atoms and distances in Å follow each position.
Fractional coordinates of all 3 atoms:
Mn: 0.0000 0.0000 0.0000  4 B 2.13
B: 0.6058 0.6058 0.0000  4 Mn 2.13
Mo: 0.2830 0.2830 0.0000  4 B 2.47, 5 Mn 2.49-2.70, 4 Mo 2.71

Values from the calculation:
- size of the total moment (μB/f.u.) = 0.7
- DFT total energy (eV per atom) = -8.89
- E_form (eV per atom) = -0.0015
- theoretical density (Mg/m³) = 8.3
- space-group type = I4mm

---

Record 5
This record from Alexandria describes a geometry-optimized Mn2B4Mo structure. The functional is PBE-GGA.

a b c (Å): 6.7819 6.7819 6.7819
angles (deg): 154.31 153.70 37.09
Closest atoms and distances in Å follow each position.
Fractional coordinates of all 7 atoms:
Mn: 0.1863 0.1863 0.0000  7 B 2.13-2.21
Mn: 0.8137 0.8137 0.0000  7 B 2.13-2.21
B: 0.3522 0.3522 0.0000  2 B 1.79
B: 0.4279 0.9279 0.5000  3 B 1.79-1.86
B: 0.5721 0.0721 0.5000  3 B 1.79-1.86
B: 0.6478 0.6478 0.0000  2 B 1.79
Mo: 0.0000 0.5000 0.5000  12 B 2.35-2.45

Values from the calculation:
- size of the total moment (μB/f.u.) = 3.5
- DFT total energy (eV per atom) = -8.44
- E_form (eV per atom) = -0.4600
- theoretical density (Mg/m³) = 6.9
- space-group type = Immm

---

Record 6
This record from Alexandria describes a geometry-optimized MnBMo structure. The functional is PBE-GGA.

a b c (Å): 5.2698 5.2698 4.3676
angles (deg): 102.30 102.30 32.71
Closest atoms and distances in Å follow each position.
Fractional coordinates of all 6 atoms:
Mn: 0.0806 0.0806 0.2901  3 B 2.09-2.13
Mn: 0.9194 0.9194 0.7099  3 B 2.09-2.13
B: 0.2697 0.2697 0.6221  2 B 1.82
B: 0.7303 0.7303 0.3779  2 B 1.82
Mo: 0.3612 0.3612 0.1709  4 B 2.30-2.37
Mo: 0.6388 0.6388 0.8291  4 B 2.30-2.37

Values from the calculation:
- size of the total moment (μB/f.u.) = 0.0
- DFT total energy (eV per atom) = -9.22
- E_form (eV per atom) = -0.3288
- theoretical density (Mg/m³) = 8.4
- space-group type = C2/m

---

Record 7
This record from Alexandria describes a geometry-optimized MnB4Mo3 structure. The functional is PBE-GGA.

a b c (Å): 4.4727 3.0576 6.2548
angles (deg): 90.00 110.45 90.00
Closest atoms and distances in Å follow each position.
Fractional coordinates of all 8 atoms:
Mn: 0.0000 0.0000 0.0000  6 B 2.23-2.25
B: 0.1424 0.5000 0.7940  2 B 1.83
B: 0.1518 0.5000 0.2761  2 B 1.84
B: 0.3838 0.0000 0.8496  2 B 1.83
B: 0.3939 0.0000 0.3426  2 B 1.84
Mo: 0.5669 0.5000 0.6460  7 B 2.32-2.41
Mo: 0.5687 0.5000 0.1349  7 B 2.27-2.44
Mo: 0.9855 0.0000 0.4932  7 B 2.32-2.48

Values from the calculation:
- size of the total moment (μB/f.u.) = 1.9
- DFT total energy (eV per atom) = -9.00
- E_form (eV per atom) = -0.4572
- theoretical density (Mg/m³) = 8.0
- space-group type = Pm

---

Record 8
This record from Alexandria describes a geometry-optimized MnBMo3 structure. The functional is PBE-GGA.

a b c (Å): 4.1373 4.1373 4.1373
angles (deg): 90.00 90.00 90.00
Closest atoms and distances in Å follow each position.
Fractional coordinates of all 5 atoms:
Mn: 0.0000 0.0000 0.0000  12 Mo 2.93
B: 0.5000 0.5000 0.5000  6 Mo 2.07
Mo: 0.0000 0.5000 0.5000  2 B 2.07
Mo: 0.5000 0.0000 0.5000  2 B 2.07
Mo: 0.5000 0.5000 0.0000  2 B 2.07

Values from the calculation:
- size of the total moment (μB/f.u.) = 0.0
- DFT total energy (eV per atom) = -9.23
- E_form (eV per atom) = 0.4372
- theoretical density (Mg/m³) = 8.3
- space-group type = Pm-3m

---

Record 9
This record from Alexandria describes a geometry-optimized MnB2MoN structure. The functional is PBE-GGA.

a b c (Å): 3.5654 3.5654 3.9173
angles (deg): 90.00 90.00 90.00
Closest atoms and distances in Å follow each position.
Fractional coordinates of all 5 atoms:
Mn: 0.0000 0.0000 0.0000  4 Mo 2.52, 8 B 2.65
B: 0.0000 0.5000 0.5000  2 N 1.78
B: 0.5000 0.0000 0.5000  2 N 1.78
Mo: 0.5000 0.5000 0.0000  2 N 1.96
N: 0.5000 0.5000 0.5000  4 B 1.78, 2 Mo 1.96

Values from the calculation:
- size of the total moment (μB/f.u.) = 2.1
- DFT total energy (eV per atom) = -7.20
- energy relative to the elements, uncorrected (meV/atom) = 1132
- theoretical density (Mg/m³) = 6.2
- space-group type = P4/mmm

---

Record 10
This record from Alexandria describes a geometry-optimized Mn2BMoN structure. The functional is PBE-GGA.

a b c (Å): 3.6819 3.6819 4.2574
angles (deg): 90.00 90.00 90.00
Closest atoms and distances in Å follow each position.
Fractional coordinates of all 5 atoms:
Mn: 0.0000 0.5000 0.0000  2 B 1.84
Mn: 0.5000 0.0000 0.0000  2 B 1.84
B: 0.0000 0.0000 0.0000  4 Mn 1.84
Mo: 0.0000 0.0000 0.5000  2 B 2.13
N: 0.5000 0.5000 0.5000  4 Mo 2.60, 8 Mn 2.81

Values from the calculation:
- size of the total moment (μB/f.u.) = 0.0
- DFT total energy (eV per atom) = -7.65
- energy relative to the elements, uncorrected (meV/atom) = 1182
- theoretical density (Mg/m³) = 6.6
- space-group type = P4/mmm

---

Record 11
This record from Alexandria describes a geometry-optimized Sc2Mn5B2Mo structure. The functional is PBE-GGA.

a b c (Å): 9.0132 9.0132 3.0318
angles (deg): 90.00 90.00 90.00
Closest atoms and distances in Å follow each position.
Fractional coordinates of all 20 atoms:
Sc: 0.1753 0.3247 0.0000  3 B 2.62-2.70, 10 Mn 2.70-2.83
Sc: 0.3247 0.8247 0.0000  3 B 2.62-2.70, 10 Mn 2.70-2.83
Sc: 0.6753 0.1753 0.0000  3 B 2.62-2.70, 10 Mn 2.70-2.83
Sc: 0.8247 0.6753 0.0000  3 B 2.62-2.70, 10 Mn 2.70-2.83
Mn: 0.0000 0.5000 0.5000  4 B 2.14
Mn: 0.0675 0.7815 0.5000  2 B 2.16
Mn: 0.2185 0.0675 0.5000  2 B 2.16
Mn: 0.2815 0.5675 0.5000  2 B 2.16
Mn: 0.4325 0.2815 0.5000  2 B 2.16
Mn: 0.5000 0.0000 0.5000  4 B 2.14
Mn: 0.5675 0.7185 0.5000  2 B 2.16
Mn: 0.7185 0.4325 0.5000  2 B 2.16
Mn: 0.7815 0.9325 0.5000  2 B 2.16
Mn: 0.9325 0.2185 0.5000  2 B 2.16
B: 0.1190 0.6190 0.0000  6 Mn 2.14-2.16
B: 0.3810 0.1190 0.0000  6 Mn 2.14-2.16
B: 0.6190 0.8810 0.0000  6 Mn 2.14-2.16
B: 0.8810 0.3810 0.0000  6 Mn 2.14-2.16
Mo: 0.0000 0.0000 0.0000  8 Mn 2.56
Mo: 0.5000 0.5000 0.0000  8 Mn 2.56

Values from the calculation:
- size of the total moment (μB/f.u.) = 7.1
- DFT total energy (eV per atom) = -8.51
- E_form (eV per atom) = -0.2435
- theoretical density (Mg/m³) = 6.5
- space-group type = P4/mbm